Computed, not measured: Mg2ZnIrO after structural relaxation at the PBE-GGA level of DFT.

Results
E, eV per atom: -3.7614
E_form (uncorrected), eV per atom: -0.1050
Crystal system: tetragonal

Cell lengths 5.265, 5.265, 3.727 Å; angles 90.00, 90.00, 90.00 degrees
Sites, in units of the cell vectors:
1 Mg 0.000 0.500 0.000
2 Mg 0.500 0.000 0.000
3 Zn 0.000 0.000 0.500
4 Ir 0.500 0.500 0.000
5 O 0.500 0.500 0.500



Computed, not measured: Pm6Cu5Pt after structural relaxation at the PBE-GGA level of DFT.

Results
DFT formation energy, eV/atom: -0.33
E, eV per atom: -4.9126
Crystal system: monoclinic

Cell lengths 5.042, 7.146, 7.989 Å; angles 90.00, 108.20, 90.00 degrees
Sites, in units of the cell vectors:
1 Pm 0.000 0.248 0.000
2 Pm 0.000 0.752 0.000
3 Pm 0.336 0.250 0.670
4 Pm 0.336 0.750 0.670
5 Pm 0.664 0.250 0.330
6 Pm 0.664 0.750 0.330
7 Cu 0.164 0.500 0.330
8 Cu 0.173 0.000 0.352
9 Cu 0.500 0.500 0.000
10 Cu 0.827 0.000 0.648
11 Cu 0.836 0.500 0.670
12 Pt 0.500 0.000 0.000



Computed, not measured: AcH2F8 after structural relaxation at the PBE-GGA level of DFT.

Results
E, eV per atom: -4.3400
ΔE to the lowest computed polymorph, meV per atom: 0
Crystal system: triclinic

Cell lengths 3.985, 6.480, 6.862 Å; angles 66.53, 89.16, 73.46 degrees
Sites, in units of the cell vectors:
1 Ac 0.000 0.000 0.000
2 H 0.279 0.412 0.176
3 H 0.721 0.588 0.824
4 F 0.112 0.040 0.555
5 F 0.229 0.547 0.224
6 F 0.342 0.251 0.092
7 F 0.430 0.151 0.747
8 F 0.570 0.849 0.253
9 F 0.658 0.749 0.908
10 F 0.771 0.453 0.776
11 F 0.888 0.960 0.445



Computed, not measured: YZr2As after structural relaxation at the PBE-GGA level of DFT.

Results
DFT formation energy, eV/atom: -0.28
E, eV per atom: -7.3370
Crystal system: monoclinic

Cell lengths 3.513, 5.006, 5.463 Å; angles 90.00, 101.89, 90.00 degrees
Sites, in units of the cell vectors:
1 Y 0.000 0.000 0.000
2 Zr 0.362 0.500 0.730
3 Zr 0.638 0.500 0.270
4 As 0.500 0.000 0.500



Computed, not measured: Ca2YSc after structural relaxation at the PBE-GGA level of DFT.

Results
DFT formation energy, eV/atom: 0.25
E, eV per atom: -3.9532
ΔE to the lowest computed polymorph, meV per atom: 157
Crystal system: tetragonal

Cell lengths 5.667, 5.667, 4.179 Å; angles 90.00, 90.00, 90.00 degrees
Sites, in units of the cell vectors:
1 Ca 0.000 0.500 0.000
2 Ca 0.500 0.000 0.000
3 Y 0.000 0.000 0.500
4 Sc 0.500 0.500 0.500



Computed, not measured: MgPdS after structural relaxation at the PBE-GGA level of DFT.

Results
E, eV per atom: -4.3412
E_form (uncorrected), eV per atom: -0.7029
Crystal system: monoclinic

Cell lengths 3.517, 5.432, 5.653 Å; angles 90.00, 90.13, 90.00 degrees
Sites, in units of the cell vectors:
1 Mg 0.000 0.171 0.000
2 Mg 0.000 0.829 0.500
3 Pd 0.501 0.475 0.660
4 Pd 0.501 0.525 0.160
5 S 0.500 0.157 0.380
6 S 0.500 0.843 0.880



Computed, not measured: KTlZn2 after structural relaxation at the PBE-GGA level of DFT.

Results
DFT formation energy, eV/atom: 0.14
E, eV per atom: -1.3667
ΔE to the lowest computed polymorph, meV per atom: 112
Crystal system: tetragonal

Cell lengths 3.941, 3.941, 7.431 Å; angles 90.00, 90.00, 90.00 degrees
Sites, in units of the cell vectors:
1 K 0.000 0.000 0.000
2 Tl 0.000 0.000 0.500
3 Zn 0.500 0.500 0.314
4 Zn 0.500 0.500 0.686



Computed, not measured: TbDy5Ho5 after structural relaxation at the PBE-GGA level of DFT.

Results
DFT formation energy, eV/atom: 0.33
E, eV per atom: -4.2650
ΔE to the lowest computed polymorph, meV per atom: 182
Crystal system: hexagonal

Cell lengths 6.022, 6.022, 11.481 Å; angles 90.00, 90.00, 120.00 degrees
Sites, in units of the cell vectors:
1 Tb 0.000 0.000 0.000
2 Dy 0.000 0.000 0.319
3 Dy 0.000 0.000 0.681
4 Dy 0.333 0.667 0.156
5 Dy 0.333 0.667 0.844
6 Dy 0.667 0.333 0.000
7 Ho 0.002 0.501 0.500
8 Ho 0.499 0.501 0.500
9 Ho 0.499 0.998 0.500
10 Ho 0.667 0.333 0.264
11 Ho 0.667 0.333 0.736



Please write out number 2 again, unchanged.
Computed, not measured: Pm6Cu5Pt after structural relaxation at the PBE-GGA level of DFT.

Results
DFT formation energy, eV/atom: -0.33
E, eV per atom: -4.9126
Crystal system: monoclinic

Cell lengths 5.042, 7.146, 7.989 Å; angles 90.00, 108.20, 90.00 degrees
Sites, in units of the cell vectors:
1 Pm 0.000 0.248 0.000
2 Pm 0.000 0.752 0.000
3 Pm 0.336 0.250 0.670
4 Pm 0.336 0.750 0.670
5 Pm 0.664 0.250 0.330
6 Pm 0.664 0.750 0.330
7 Cu 0.164 0.500 0.330
8 Cu 0.173 0.000 0.352
9 Cu 0.500 0.500 0.000
10 Cu 0.827 0.000 0.648
11 Cu 0.836 0.500 0.670
12 Pt 0.500 0.000 0.000



E of number 7 (KTlZn2)? -1.3667 eV per atom



Which of these has the highest E? KTlZn2